The following is a PBE calculation of KYP3 after structural relaxation, from Alexandria via LeMat-Bulk.

Computed properties:
Mass density = 2.4 g/cm3
Symmetry = No. 221
E_form = 0.103 eV per atom
Offset from the most stable computed form = 0.000 eV per atom

a b c (Å): 5.346 5.346 5.346
angles (deg): 90.00 90.00 90.00
Element x y z (fractional)
P 0.000 0.500 0.000
P 0.000 0.000 0.500
P 0.500 0.000 0.000
K 0.500 0.500 0.500
Y 0.000 0.000 0.000

=====

The following is a PBE calculation of Tm3TeC after structural relaxation, from Alexandria via LeMat-Bulk.

Computed properties:
Formation energy (no corrections) = -0.512 eV per atom
Mass density = 9.6 g/cm3
Symmetry = No. 221
Offset from the most stable computed form = 0.073 eV per atom

a b c (Å): 4.823 4.823 4.823
angles (deg): 90.00 90.00 90.00
Element x y z (fractional)
Te 0.500 0.500 0.500
C 0.000 0.000 0.000
Tm 0.000 0.500 0.000
Tm 0.500 0.000 0.000
Tm 0.000 0.000 0.500

=====

The following is a PBE calculation of HgRu2W after structural relaxation, from Alexandria via LeMat-Bulk.

Computed properties:
Mass density = 14.7 g/cm3
Symmetry = No. 71
E_form = 0.535 eV per atom
Offset from the most stable computed form = 0.316 eV per atom

a b c (Å): 5.358 5.358 5.358
angles (deg): 147.25 126.42 64.23
Element x y z (fractional)
W 0.750 0.250 0.500
Ru 0.526 0.526 0.000
Hg 0.250 0.750 0.500
Ru 0.974 0.974 0.000

=====

> Which value of offset from the most stable computed form does entry 3 give?

0.316 eV per atom

=====

> Which formula does entry 3 have?

HgRu2W

=====

> Which of these has the lowest mass density?

KYP3